CeTlP2Se6 | PBE | relaxed

```
data_CeTlP2Se6
_chemical_formula_sum 'Ce4 Tl4 P8 Se24'
_space_group_name_H-M_alt 'P 1 21/c 1'
_space_group_IT_number 14
_cell_length_a 12.6490
_cell_length_b 7.8914
_cell_length_c 11.9113
_cell_angle_alpha 90.00
_cell_angle_beta 109.17
_cell_angle_gamma 90.00
loop_
_space_group_symop_operation_xyz
'x,y,z'
'-x,-y,-z'
'-x,y+1/2,-z+1/2'
'x,-y+1/2,z+1/2'
loop_
_atom_site_label
_atom_site_type_symbol
_atom_site_fract_x
_atom_site_fract_y
_atom_site_fract_z
Ce1 Ce 0.1480 0.1038 0.4035
Tl1 Tl 0.3727 0.5928 0.6300
P1 P 0.1717 0.5935 0.2453
P2 P 0.2866 0.1185 0.7312
Se1 Se 0.0480 0.0346 0.8144
Se2 Se 0.0869 0.6894 0.0628
Se3 Se 0.1701 0.1837 0.1322
Se4 Se 0.2795 0.7146 0.8633
Se5 Se 0.3665 0.2134 0.9145
Se6 Se 0.3832 0.0175 0.6234
```

Summary:
**DOS(E_F)**: 0.816 states/eV/atom
**Total DFT energy (no corrections)**: -4.632 eV/atom
**Uncorrected formation energy**: -0.63 eV per atom